Hf4GaRh after structural relaxation. Source: Alexandria via LeMat-Bulk, functional PBE.

Cell lengths 5.3939, 5.3939, 5.3939 Å; angles 103.94, 103.94, 121.21 degrees
Closest atoms and distances in Å follow each position.
Fractional positions:
Hf 0.0917 0.5917 0.1833  2 Rh 2.83, 2 Ga 2.83, 3 Hf 2.98-3.16
Hf 0.4083 0.9083 0.8167  2 Rh 2.83, 2 Ga 2.83, 3 Hf 2.98-3.16
Hf 0.5917 0.4083 0.5000  2 Rh 2.83, 2 Ga 2.83, 3 Hf 2.98-3.16
Hf 0.9083 0.0917 0.5000  2 Rh 2.83, 2 Ga 2.83, 3 Hf 2.98-3.16
Ga 0.0000 0.0000 0.0000  2 Rh 2.65, 8 Hf 2.83
Rh 0.5000 0.5000 0.0000  2 Ga 2.65, 8 Hf 2.83

Calculated values
Space-group type: I422 (97)
ΔE to the lowest computed polymorph, meV per atom: 0
Volume, Å³ per atom: 19.49
Density of states at the Fermi level, states/eV/atom: 0.591